VASP calculation (PBE-GGA) on a geometry-optimized Ac6Au2O structure.

Output
As for the total energy: -4.94 eV per atom. As for the total magnetization: 0.00 μB per formula unit. The calculation puts the uncorrected formation energy at -8.3 eV per formula unit.

Structure (extended XYZ):
```
18
Lattice="7.094 0.000 -0.124 0.000 7.764 0.000 0.167 0.000 11.027" Properties=species:S:1:pos:R:3 pbc="T T T"
Ac 4.702 1.567 0.601
Ac 2.380 6.368 6.117
Ac 2.557 4.120 2.627
Ac 1.074 0.238 2.825
Au 6.614 3.044 2.695
Au 3.151 0.838 8.270
Au 4.111 6.926 2.633
Ac 6.023 5.449 4.727
Ac 4.881 1.396 4.787
Ac 1.418 2.486 10.362
Au 0.647 4.720 8.209
Ac 4.705 3.643 8.277
Ac 6.187 7.525 8.078
O 3.547 3.882 -0.062
O 0.084 0.000 5.514
Ac 5.844 5.278 0.541
Ac 2.559 6.197 10.303
Ac 1.239 2.315 6.176
```